one | VASP calculation (GGA-PBE) on crystalline Ag5IO6 at its relaxed geometry.

Geometry as POSCAR:
```
Ag5IO6
1.0
-1.976 -1.496 5.488
-4.648 -4.522 0.263
1.284 -5.952 0.424
Ag O I
5 6 1
Direct
0.500 0.156 0.687
0.500 0.500 0.000
0.000 0.328 0.344
0.000 0.672 0.656
0.500 0.844 0.313
0.755 0.033 0.268
0.245 0.699 0.268
0.755 0.301 0.732
0.893 0.762 0.000
0.107 0.238 0.000
0.245 0.967 0.732
0.000 0.000 0.000
```

density	7.0	g/cm³

two | VASP calculation (GGA-PBE) on crystalline Ag5IO6 at its relaxed geometry.

Geometry as POSCAR:
```
Ag5IO6
1.0
11.530 0.021 0.013
9.956 5.815 0.013
9.956 2.704 5.148
Ag O I
10 12 2
Direct
0.750 0.453 0.047
0.851 0.851 0.851
0.250 0.547 0.953
0.453 0.047 0.750
0.649 0.649 0.649
0.149 0.149 0.149
0.047 0.750 0.453
0.953 0.250 0.547
0.351 0.351 0.351
0.547 0.953 0.250
0.480 0.298 0.822
0.702 0.178 0.520
0.980 0.322 0.798
0.798 0.980 0.322
0.822 0.480 0.298
0.298 0.822 0.480
0.520 0.702 0.178
0.202 0.020 0.678
0.178 0.520 0.702
0.322 0.798 0.980
0.020 0.678 0.202
0.678 0.202 0.020
0.000 0.000 0.000
0.500 0.500 0.500
```

density	7.4	g/cm³

On energetic grounds, two is preferred over the next structure by 0.029 eV/atom.

one | VASP calculation (GGA-PBE) on crystalline AgPI2O at its relaxed geometry.

Geometry as POSCAR:
```
AgPI2O
1.0
5.624 0.000 0.000
0.000 5.624 0.000
0.000 0.000 3.978
I P Ag O
2 1 1 1
Direct
0.500 0.000 0.000
0.000 0.500 0.000
0.500 0.500 0.500
0.000 0.000 0.000
0.000 0.000 0.500
```

density	5.4	g/cm³

two | VASP calculation (GGA-PBE) on crystalline AgPI2O at its relaxed geometry.

Geometry as POSCAR:
```
AgPI2O
1.0
-3.194 -4.580 -1.104
2.353 -0.395 -5.168
2.570 -2.114 1.332
O P I Ag
1 1 2 1
Direct
0.000 0.000 0.500
0.000 0.000 0.000
0.500 0.000 0.000
0.000 0.500 0.000
0.500 0.500 0.500
```

density	5.8	g/cm³

On energetic grounds, two is preferred over the next structure by 0.885 eV/atom.

one | VASP calculation (GGA-PBE) on crystalline AgPbI2O at its relaxed geometry.

Geometry as POSCAR:
```
AgPbI2O
1.0
6.081 0.000 0.000
0.000 6.081 0.000
0.000 0.000 4.202
Ag I Pb O
1 2 1 1
Direct
0.500 0.500 0.500
0.500 0.000 0.000
0.000 0.500 0.000
0.000 0.000 0.000
0.000 0.000 0.500
```

density	6.3	g/cm³

two | VASP calculation (GGA-PBE) on crystalline AgPbI2O at its relaxed geometry.

Geometry as POSCAR:
```
AgPbI2O
1.0
-1.501 2.289 4.900
-5.240 0.645 -1.907
-0.997 -3.782 1.462
O Pb I Ag
1 1 2 1
Direct
0.000 0.000 0.500
0.500 0.500 0.500
0.000 0.500 0.000
0.500 0.000 0.000
0.000 0.000 0.000
```

density	7.4	g/cm³

On energetic grounds, one is preferred over the next structure by 0.082 eV/atom.

one | VASP calculation (GGA-PBE) on crystalline AgPtIO2 at its relaxed geometry.

Geometry as POSCAR:
```
AgPtIO2
1.0
3.879 0.000 0.000
0.000 3.879 0.000
0.000 0.000 8.177
Ag O I Pt
1 2 1 1
Direct
0.500 0.500 0.500
0.500 0.000 0.000
0.000 0.500 0.000
0.000 0.000 0.500
0.000 0.000 0.000
```

density	6.2	g/cm³

two | VASP calculation (GGA-PBE) on crystalline AgPtIO2 at its relaxed geometry.

Geometry as POSCAR:
```
AgPtIO2
1.0
-2.461 -1.628 -2.578
-2.317 -1.156 2.941
-3.875 6.592 -0.462
O Pt I Ag
2 1 1 1
Direct
0.000 0.500 0.000
0.500 0.000 0.000
0.500 0.500 0.500
0.000 0.000 0.500
0.000 0.000 0.000
```

density	6.5	g/cm³

On energetic grounds, one is preferred over the next structure by 0.680 eV/atom.

one | VASP calculation (GGA-PBE) on crystalline AgPtI2O at its relaxed geometry.

Geometry as POSCAR:
```
AgPtI2O
1.0
-3.260 3.122 3.321
-2.113 -3.150 0.887
3.396 -1.059 4.330
Pt Ag I O
1 1 2 1
Direct
0.500 0.500 0.500
0.000 0.000 0.000
0.500 0.000 0.000
0.000 0.000 0.500
0.000 0.500 0.000
```

density	7.8	g/cm³

two | VASP calculation (GGA-PBE) on crystalline AgPtI2O at its relaxed geometry.

Geometry as POSCAR:
```
AgPtI2O
1.0
-0.340 2.443 -5.181
-5.648 -1.008 -0.105
-0.635 3.388 1.639
I Pt O Ag
2 1 1 1
Direct
0.500 0.000 0.000
0.000 0.500 0.000
0.000 0.000 0.000
0.000 0.000 0.500
0.500 0.500 0.500
```

density	7.6	g/cm³

On energetic grounds, two is preferred over the next structure by 0.747 eV/atom.

one | VASP calculation (GGA-PBE) on crystalline ReAgIO2 at its relaxed geometry.

Geometry as POSCAR:
```
ReAgIO2
1.0
-0.146 -3.310 2.317
2.875 -1.714 -2.268
4.391 2.422 3.736
I Ag O Re
1 1 2 1
Direct
0.000 0.000 0.500
0.000 0.000 0.000
0.500 0.000 0.000
0.000 0.500 0.000
0.500 0.500 0.500
```

density	7.4	g/cm³

two | VASP calculation (GGA-PBE) on crystalline ReAgIO2 at its relaxed geometry.

Geometry as POSCAR:
```
ReAgIO2
1.0
3.891 0.000 0.000
0.000 3.891 0.000
0.000 0.000 6.038
O Ag Re I
2 1 1 1
Direct
0.500 0.000 0.000
0.000 0.500 0.000
0.500 0.500 0.500
0.000 0.000 0.000
0.000 0.000 0.500
```

density	8.2	g/cm³

three | VASP calculation (GGA-PBE) on crystalline ReAgIO2 at its relaxed geometry.

Geometry as POSCAR:
```
ReAgIO2
1.0
-3.161 0.878 2.310
2.182 -2.990 4.124
1.900 3.262 1.360
I Ag O Re
1 1 2 1
Direct
0.000 0.000 0.000
0.500 0.500 0.500
0.000 0.000 0.500
0.500 0.000 0.000
0.000 0.500 0.000
```

density	8.4	g/cm³

On energetic grounds, two is preferred over the next structure by 1.574 eV/atom.

one | VASP calculation (GGA-PBE) on crystalline AgRhI2O at its relaxed geometry.

Geometry as POSCAR:
```
AgRhI2O
1.0
-5.648 0.151 -0.519
0.227 -4.279 -3.719
-0.325 -2.462 2.813
I O Ag Rh
2 1 1 1
Direct
0.000 0.500 0.000
0.500 0.000 0.000
0.000 0.000 0.500
0.500 0.500 0.500
0.000 0.000 0.000
```

density	6.6	g/cm³

two | VASP calculation (GGA-PBE) on crystalline AgRhI2O at its relaxed geometry.

Geometry as POSCAR:
```
AgRhI2O
1.0
-3.848 -2.443 -3.380
1.803 -5.121 1.648
-2.627 0.030 2.968
I O Rh Ag
2 1 1 1
Direct
0.500 0.000 0.000
0.000 0.500 0.000
0.000 0.000 0.500
0.500 0.500 0.500
0.000 0.000 0.000
```

density	6.3	g/cm³

On energetic grounds, one is preferred over the next structure by 0.828 eV/atom.

one | VASP calculation (GGA-PBE) on crystalline AgRuIO2 at its relaxed geometry.

Geometry as POSCAR:
```
AgRuIO2
1.0
3.986 0.000 0.000
0.000 6.476 0.000
0.000 0.000 3.986
O Ag Ru I
2 1 1 1
Direct
0.500 0.000 0.000
0.000 0.000 0.500
0.000 0.000 0.000
0.500 0.500 0.500
0.000 0.500 0.000
```

density	5.9	g/cm³

two | VASP calculation (GGA-PBE) on crystalline AgRuIO2 at its relaxed geometry.

Geometry as POSCAR:
```
AgRuIO2
1.0
3.892 0.000 0.000
0.000 3.892 0.000
0.000 0.000 6.087
Ru O Ag I
1 2 1 1
Direct
0.000 0.000 0.000
0.000 0.500 0.000
0.500 0.000 0.000
0.500 0.500 0.500
0.000 0.000 0.500
```

density	6.6	g/cm³

On energetic grounds, two is preferred over the next structure by 1.208 eV/atom.